{
  "formula": "LuThRePd",
  "functional": "PBE-GGA",
  "state": "optimized geometry",
  "m_tot_mub_per_atom": 0.00,
  "spacegroup": "F-43m, No. 216",
  "formation_enthalpy_0k_ev_per_atom": -0.36,
  "vol_a3_per_cell": 85.9,
  "cell": [[0.0000, 3.5024, 3.5024], [3.5024, 0.0000, 3.5024], [3.5024, 3.5024, 0.0000]],
  "species": ["Lu", "Th", "Re", "Pd"],
  "frac_coords": [[0.0000, 0.0000, 0.0000], [0.5000, 0.5000, 0.5000], [0.7500, 0.7500, 0.7500], [0.2500, 0.2500, 0.2500]]
}